Computed, not measured: a relaxed HfCoBIr crystal at the GGA-PBE level of DFT.

a = 4.2136 Å, b = 4.2136 Å, c = 4.2136 Å
α = 60.00°, β = 60.00°, γ = 60.00°
Closest atoms and distances in Å follow each position.
Fractional positions:
Hf (0.0000, 0.0000, 0.0000)  4 Ir 2.58, 4 Co 2.58
Co (0.7500, 0.7500, 0.7500)  4 B 2.58, 4 Hf 2.58
B (0.5000, 0.5000, 0.5000)  4 Co 2.58, 4 Ir 2.58
Ir (0.2500, 0.2500, 0.2500)  4 B 2.58, 4 Hf 2.58

Calculated values
- Calculated total energy: -8.17 eV/atom
- Space-group type: No. 216
- M_tot: 1.01 μB/cell